An optimized crystal structure of Zr5Tl2. Source: Alexandria via LeMat-Bulk, functional PBE-GGA.

## Properties
As for the calculated formation energy: -42 meV/atom. The value obtained for the magnetic moment is 0.0000 μB/atom. The theoretical density is 8.9 g cm⁻³. The density of states at the Fermi level comes out at 0.925 states/eV/atom.

```
data_Zr5Tl2
_cell_length_a 5.375
_cell_length_b 7.793
_cell_length_c 8.272
_cell_angle_alpha 95.49
_cell_angle_beta 90.00
_cell_angle_gamma 110.17
_symmetry_space_group_name_H-M 'P 1'
_symmetry_Int_Tables_number 1
loop_
_symmetry_equiv_pos_as_xyz
'x,y,z'
loop_
_atom_site_label
_atom_site_fract_x
_atom_site_fract_y
_atom_site_fract_z
Tl1 0.775 0.155 0.606
Tl2 0.620 0.845 0.894
Tl3 0.225 0.845 0.394
Tl4 0.380 0.155 0.106
Zr1 0.205 0.000 0.750
Zr2 0.059 0.716 0.033
Zr3 0.657 0.716 0.533
Zr4 0.098 0.568 0.684
Zr5 0.530 0.432 0.816
Zr6 0.470 0.568 0.184
Zr7 0.343 0.284 0.467
Zr8 0.902 0.432 0.316
Zr9 0.941 0.284 0.967
Zr10 0.795 0.000 0.250
```

=====

An optimized crystal structure of Sc2TlMo. Source: Alexandria via LeMat-Bulk, functional PBE-GGA.

## Properties
As for the calculated formation energy: 245 meV/atom. The value obtained for the magnetic moment is 0.0000 μB/atom. The theoretical density is 6.7 g cm⁻³. The density of states at the Fermi level comes out at 0.998 states/eV/atom.

```
data_Sc2TlMo
_cell_length_a 10.333
_cell_length_b 10.333
_cell_length_c 10.333
_cell_angle_alpha 18.42
_cell_angle_beta 18.42
_cell_angle_gamma 18.42
_symmetry_space_group_name_H-M 'P 1'
_symmetry_Int_Tables_number 1
loop_
_symmetry_equiv_pos_as_xyz
'x,y,z'
loop_
_atom_site_label
_atom_site_fract_x
_atom_site_fract_y
_atom_site_fract_z
Sc1 0.898 0.898 0.898
Sc2 0.102 0.102 0.102
Mo1 0.500 0.500 0.500
Tl1 0.000 0.000 0.000
```

=====

An optimized crystal structure of NdTl2BiS4. Source: Alexandria via LeMat-Bulk, functional PBE-GGA.

## Properties
The value obtained for the magnetic moment is 0.0000 μB/atom. The final energy is -4.6713 eV per atom. The theoretical density is 6.6 g cm⁻³.

```
data_NdTl2BiS4
_cell_length_a 4.165
_cell_length_b 7.850
_cell_length_c 7.228
_cell_angle_alpha 72.12
_cell_angle_beta 90.00
_cell_angle_gamma 90.00
_symmetry_space_group_name_H-M 'P 1'
_symmetry_Int_Tables_number 1
loop_
_symmetry_equiv_pos_as_xyz
'x,y,z'
loop_
_atom_site_label
_atom_site_fract_x
_atom_site_fract_y
_atom_site_fract_z
S1 0.500 0.294 0.735
S2 0.000 0.292 0.236
S3 0.500 0.706 0.265
S4 0.000 0.708 0.764
Nd1 0.000 0.500 0.500
Bi1 0.500 0.500 0.000
Tl1 0.000 0.000 0.000
Tl2 0.500 0.000 0.500
```

=====

The highest theoretical density belongs to which entry? Zr5Tl2